Here is a relaxed BaHoMoO6 crystal from Alexandria via LeMat-Bulk. Energies are from PBE with a Hubbard U.

Structure (POSCAR):
```
BaHoMoO6
1.0
2.7814 -4.9804 0.0000
2.7814 4.9804 0.0000
-0.1399 0.0000 5.6083
Ba Ho Mo O
1 1 1 6
direct
0.0000 0.0000 0.0000 Ba
0.6671 0.3329 0.5000 Ho
0.3445 0.6555 0.5000 Mo
0.0345 0.4058 0.2972 O
0.0404 0.6370 0.7007 O
0.3587 0.3944 0.6952 O
0.3630 0.9596 0.2993 O
0.5942 0.9655 0.7028 O
0.6056 0.6413 0.3048 O
```

Total energy   -7.12 eV/atom
Crystal system   monoclinic
SG   C2